A relaxed structure of ErAsH, computed with PBE-GGA.

a b c (Å): 8.5629 3.6589 6.2069
angles (deg): 90.00 90.00 90.00
Space group Pnma (No. 62)
One atom of each set of equivalent atoms:
Er1 0.2251 0.2500 0.0806 [4 per cell]
As1 0.0056 0.2500 0.6905 [4 per cell]
H1 0.2332 0.7500 0.9129 [4 per cell]

Properties
calculated density = 8.31 g cm⁻³
D(E_F) = 0.4 states/eV/f.u.
calculated total energy = -59.5 eV/cell
polymorph energy (0 for the lowest one) = 0.021 eV/atom